No. 1
Here is a geometry-optimized DyHo2Mg structure from Alexandria via LeMat-Bulk. Energies are from PBE.

## Properties
Crystal system = monoclinic
DFT total energy = -61.87 eV per cell
Fermi-level density of states = 4.1 states/eV/f.u.

a b c (Å): 7.109 7.117 9.923
angles (deg): 90.00 110.91 90.00
Space group C2/m (No. 12)
One atom of each set of equivalent atoms:
Dy: 0.131 0.000 0.262 x4
Ho: 0.131 0.500 0.263 x4
Ho: 0.250 0.250 0.000 x4
Mg: 0.000 0.250 0.500 x4


No. 2
Here is a geometry-optimized YTm4Ag5 structure from Alexandria via LeMat-Bulk. Energies are from PBE.

## Properties
Crystal system = tetragonal
DFT total energy = -42.00 eV per cell
Fermi-level density of states = 4.7 states/eV/f.u.

a b c (Å): 3.565 3.565 18.306
angles (deg): 90.00 90.00 90.00
Space group P4/mmm (No. 123)
One atom of each set of equivalent atoms:
Y: 0.000 0.000 0.000 x1
Tm: 0.000 0.000 0.202 x2
Tm: 0.000 0.000 0.401 x2
Ag: 0.500 0.500 0.104 x2
Ag: 0.500 0.500 0.301 x2
Ag: 0.500 0.500 0.500 x1